No. 1
# Pm3GeB

A relaxed Pm3GeB crystal (GGA-PBE, Alexandria).

Computed properties:
* theoretical density: 6.951 g cm⁻³
* formation energy from the elements: -260 meV per atom
* Fermi-level density of states: 6.4 states/eV/cell
* electronic total energy: -5.369 eV/atom
* space group: P6_3/mmc (194)

Unit cell a=5.848 b=6.994 c=6.994 alpha=120.00 beta=90.00 gamma=90.00
Fractional coordinates of all 10 atoms:
Pm 0.750 0.652 0.826
Pm 0.250 0.826 0.174
Pm 0.250 0.826 0.652
Pm 0.750 0.174 0.826
Pm 0.750 0.174 0.348
Pm 0.250 0.348 0.174
Ge 0.750 0.667 0.333
Ge 0.250 0.333 0.667
B 0.500 0.000 0.000
B 0.000 0.000 0.000

---

No. 2
# RbAsO2

A relaxed RbAsO2 crystal (GGA-PBE, Alexandria).

Computed properties:
* theoretical density: 4.625 g cm⁻³
* Fermi-level density of states: 1.2 states/eV/cell
* electronic total energy: -4.557 eV/atom
* space group: R-3m (166)
* E_form (uncorrected): -15.530 kcal/mol of atoms

Unit cell a=7.473 b=7.473 c=7.473 alpha=25.69 beta=25.69 gamma=25.69
Fractional coordinates of all 4 atoms:
O 0.884 0.884 0.884
O 0.116 0.116 0.116
Rb 0.000 0.000 0.000
As 0.500 0.500 0.500

---

No. 3
# Hg3Au

A relaxed Hg3Au crystal (GGA-PBE, Alexandria).

Computed properties:
* theoretical density: 13.166 g cm⁻³
* formation energy from the elements: 35 meV per atom
* Fermi-level density of states: 4.8 states/eV/cell
* electronic total energy: -1.010 eV/atom
* space group: Pnma (62)

Unit cell a=7.003 b=8.301 c=6.932 alpha=90.00 beta=90.00 gamma=90.00
Fractional coordinates of all 16 atoms:
Hg 0.029 0.750 0.139
Hg 0.808 0.557 0.640
Hg 0.471 0.250 0.639
Hg 0.308 0.943 0.860
Hg 0.192 0.443 0.360
Hg 0.192 0.057 0.360
Hg 0.529 0.750 0.361
Hg 0.308 0.557 0.860
Hg 0.692 0.443 0.140
Hg 0.692 0.057 0.140
Hg 0.971 0.250 0.861
Hg 0.808 0.943 0.640
Au 0.337 0.250 0.048
Au 0.163 0.750 0.548
Au 0.663 0.750 0.952
Au 0.837 0.250 0.452

---

No. 4
# Ba2PrSe3

A relaxed Ba2PrSe3 crystal (GGA-PBE, Alexandria).

Computed properties:
* theoretical density: 5.442 g cm⁻³
* Fermi-level density of states: 2.8 states/eV/cell
* electronic total energy: -5.127 eV/atom
* space group: C2/m (12)
* E_form (uncorrected): -44.906 kcal/mol of atoms

Unit cell a=7.840 b=7.840 c=7.922 alpha=99.52 beta=99.52 gamma=119.95
Fractional coordinates of all 12 atoms:
Se 0.906 0.589 0.768
Se 0.761 0.744 0.232
Se 0.256 0.239 0.768
Se 0.411 0.094 0.232
Se 0.059 0.393 0.227
Se 0.607 0.941 0.773
Ba 0.333 0.667 0.000
Ba 0.171 0.829 0.500
Ba 0.833 0.167 0.500
Ba 0.496 0.504 0.500
Pr 0.666 0.334 0.000
Pr 0.001 0.999 0.000

---

No. 5
# MnH2Br

A relaxed MnH2Br crystal (GGA-PBE, Alexandria).

Computed properties:
* theoretical density: 4.669 g cm⁻³
* Fermi-level density of states: 1.0 states/eV/cell
* electronic total energy: -3.496 eV/atom
* space group: Fm-3m (225)

Unit cell a=4.098 b=4.098 c=4.098 alpha=60.00 beta=60.00 gamma=60.00
Fractional coordinates of all 4 atoms:
H 0.250 0.250 0.250
H 0.750 0.750 0.750
Mn 0.000 0.000 0.000
Br 0.500 0.500 0.500

---

No. 6
# GdLuZnIr

A relaxed GdLuZnIr crystal (GGA-PBE, Alexandria).

Computed properties:
* theoretical density: 11.778 g cm⁻³
* formation energy from the elements: -637 meV per atom
* Fermi-level density of states: 2.5 states/eV/cell
* electronic total energy: -7.821 eV/atom
* space group: F-43m (216)

Unit cell a=4.899 b=4.899 c=4.899 alpha=60.00 beta=60.00 gamma=60.00
Fractional coordinates of all 4 atoms:
Zn 0.000 0.000 0.000
Gd 0.250 0.250 0.250
Ir 0.500 0.500 0.500
Lu 0.750 0.750 0.750

---

Repeat the fourth record exactly.
# Ba2PrSe3

A relaxed Ba2PrSe3 crystal (GGA-PBE, Alexandria).

Computed properties:
* theoretical density: 5.442 g cm⁻³
* Fermi-level density of states: 2.8 states/eV/cell
* electronic total energy: -5.127 eV/atom
* space group: C2/m (12)
* E_form (uncorrected): -44.906 kcal/mol of atoms

Unit cell a=7.840 b=7.840 c=7.922 alpha=99.52 beta=99.52 gamma=119.95
Fractional coordinates of all 12 atoms:
Se 0.906 0.589 0.768
Se 0.761 0.744 0.232
Se 0.256 0.239 0.768
Se 0.411 0.094 0.232
Se 0.059 0.393 0.227
Se 0.607 0.941 0.773
Ba 0.333 0.667 0.000
Ba 0.171 0.829 0.500
Ba 0.833 0.167 0.500
Ba 0.496 0.504 0.500
Pr 0.666 0.334 0.000
Pr 0.001 0.999 0.000

---

- Which of these has the lowest electronic total energy?
  GdLuZnIr